(1)
Entry from the Alexandria database: a geometry-optimized Ti2Tc4Mo structure (PBE-GGA).

Output
Its calculated density is 8.52 g/cm3. For the energy relative to the lowest polymorph listed for this composition, the calculation gives 0.000 eV per atom. Its symmetry is No. 139.

abc: 5.2862 5.2862 5.2862
angles: 109.03 109.69 109.69
Positions (direct):
Ti: 0.5000 0.5000 0.0000
Ti: 0.5000 0.0000 0.5000
Tc: 0.5000 0.0000 0.0000
Tc: 0.5000 0.5000 0.5000
Tc: 0.0000 0.0000 0.5000
Tc: 0.0000 0.5000 0.0000
Mo: 0.0000 0.0000 0.0000



(2)
Entry from the Alexandria database: a geometry-optimized Ti2TcMo6W2 structure (PBE-GGA).

Output
Its calculated density is 8.58 g/cm3. The calculation puts the uncorrected energy at -9.4844 eV per atom. Its symmetry is No. 166.

abc: 6.7244 6.7244 6.8314
angles: 60.52 60.52 60.00
Positions (direct):
Ti: 0.7437 0.7437 0.7688
Ti: 0.2563 0.2563 0.2312
Tc: 0.0000 0.0000 0.0000
Mo: 0.7342 0.7342 0.3908
Mo: 0.1407 0.7342 0.3908
Mo: 0.7342 0.1407 0.3908
Mo: 0.2658 0.8593 0.6092
Mo: 0.8593 0.2658 0.6092
Mo: 0.2658 0.2658 0.6092
W: 0.4113 0.4113 0.7660
W: 0.5887 0.5887 0.2340



(3)
Entry from the Alexandria database: a geometry-optimized TiTcMoW2 structure (PBE-GGA).

Output
Its calculated density is 11.61 g/cm3. The calculation puts the uncorrected energy at -10.3941 eV per atom. Its symmetry is No. 63.

abc: 2.8774 8.1497 7.5565
angles: 90.00 90.00 100.17
Positions (direct):
Ti: 0.4153 0.8305 0.7500
Ti: 0.5847 0.1695 0.2500
Tc: 0.7620 0.5239 0.7500
Tc: 0.2380 0.4761 0.2500
Mo: 0.0000 0.0000 0.0000
Mo: 0.0000 0.0000 0.5000
W: 0.1612 0.3224 0.9567
W: 0.8388 0.6776 0.0433
W: 0.1612 0.3224 0.5433
W: 0.8388 0.6776 0.4567



(4)
Entry from the Alexandria database: a geometry-optimized ZrTiTcMo structure (PBE-GGA).

Output
Its calculated density is 8.23 g/cm3. The calculation puts the uncorrected energy at -9.5765 eV per atom. Its symmetry is No. 216.

abc: 4.5625 4.5625 4.5625
angles: 60.00 60.00 60.00
Positions (direct):
Mo: 0.5000 0.5000 0.5000
Tc: 0.0000 0.0000 0.0000
Zr: 0.7500 0.7500 0.7500
Ti: 0.2500 0.2500 0.2500



(5)
Entry from the Alexandria database: a geometry-optimized TlTc4Mo structure (PBE-GGA).

Output
Its calculated density is 11.68 g/cm3. The calculation puts the uncorrected energy at -8.6617 eV per atom. Its symmetry is No. 216.

abc: 5.1818 5.1818 5.1818
angles: 60.00 60.00 60.00
Positions (direct):
Tl: 0.2500 0.2500 0.2500
Tc: 0.6245 0.6245 0.1266
Tc: 0.6245 0.1266 0.6245
Tc: 0.6245 0.6245 0.6245
Tc: 0.1266 0.6245 0.6245
Mo: 0.0000 0.0000 0.0000



(6)
Entry from the Alexandria database: a geometry-optimized TlTcMo3 structure (PBE-GGA).

Output
Its calculated density is 9.22 g/cm3. For the energy relative to the lowest polymorph listed for this composition, the calculation gives 0.000 eV per atom. Its symmetry is No. 221.

abc: 4.7377 4.7377 4.7377
angles: 90.00 90.00 90.00
Positions (direct):
Mo: 0.0000 0.5000 0.0000
Mo: 0.0000 0.0000 0.5000
Mo: 0.5000 0.0000 0.0000
Tl: 0.5000 0.5000 0.5000
Tc: 0.0000 0.0000 0.0000